DFT (GGA-PBE) results for a relaxed structure of HfTh2S2Br4.

The calculation puts the formation energy without anion corrections at -1.38 eV per atom. Its crystal system is trigonal.

Cell and atoms, written as POSCAR:
```
HfTh2S2Br4
1.0
3.694 0.000 0.000
-1.847 3.199 0.000
0.000 0.000 23.266
Hf Th S Br
1 2 2 4
Cartesian
0.000 0.000 0.000
0.000 0.000 15.535
1.847 1.066 7.281
1.847 1.066 1.533
1.847 1.066 21.738
0.000 0.000 5.136
0.000 0.000 9.447
1.847 1.066 13.369
1.847 1.066 17.684
```

=====

DFT (GGA-PBE) results for a relaxed structure of Th7Co2Ge2.

The formation enthalpy at 0 K comes out at -3.9 kcal/mol of atoms. Its crystal system is orthorhombic.

Cell and atoms, written as POSCAR:
```
Th7Co2Ge2
1.0
3.933 -5.587 0.000
3.933 5.587 0.000
0.000 0.000 6.756
Th Co Ge
7 2 2
Cartesian
0.000 0.000 0.000
1.966 2.793 1.785
1.966 2.793 4.970
1.966 -2.793 1.785
1.966 -2.793 4.970
3.933 0.000 1.664
3.933 0.000 5.092
3.933 2.613 0.000
3.933 -2.613 0.000
1.304 0.000 3.378
6.561 0.000 3.378
```

=====

DFT (GGA-PBE) results for a relaxed structure of YBe4Au8.

The formation enthalpy at 0 K comes out at -6.4 kcal/mol of atoms. Its crystal system is tetragonal.

Cell and atoms, written as POSCAR:
```
YBe4Au8
1.0
-4.444 4.444 2.632
4.444 -4.444 2.632
4.444 4.444 -2.632
Y Be Au
1 4 8
Cartesian
0.000 0.000 0.000
2.222 2.222 -1.316
2.222 -2.222 1.316
-2.222 2.222 1.316
2.222 2.222 1.316
2.913 0.000 0.000
5.975 0.000 0.000
4.444 2.470 0.000
0.000 2.913 0.000
2.470 4.444 0.000
1.974 0.000 2.632
0.000 5.975 0.000
0.000 1.974 2.632
```

=====

DFT (GGA-PBE) results for a relaxed structure of CdCu2Si2.

The calculation puts the formation energy without anion corrections at 0.14 eV per atom. Its crystal system is tetragonal.

Cell and atoms, written as POSCAR:
```
CdCu2Si2
1.0
3.944 0.000 0.000
0.000 3.944 0.000
0.000 0.000 10.244
Cd Cu Si
2 4 4
Cartesian
0.000 0.000 0.000
1.972 1.972 5.122
0.000 1.972 2.561
0.000 1.972 7.683
1.972 0.000 2.561
1.972 0.000 7.683
0.000 0.000 3.955
0.000 0.000 6.288
1.972 1.972 1.167
1.972 1.972 9.077
```

=====

DFT (GGA-PBE) results for a relaxed structure of MgCSCl2.

The calculation puts the formation energy without anion corrections at 0.98 eV per atom. Its crystal system is tetragonal.

Cell and atoms, written as POSCAR:
```
MgCSCl2
1.0
4.678 0.000 0.000
0.000 4.678 0.000
0.000 0.000 5.167
Mg C S Cl
1 1 1 2
Cartesian
0.000 0.000 0.000
2.339 2.339 2.584
0.000 0.000 2.584
0.000 2.339 0.000
2.339 0.000 0.000
```

=====

DFT (GGA-PBE) results for a relaxed structure of BaScAl2Hg.

The formation enthalpy at 0 K comes out at 6.5 kcal/mol of atoms. Its crystal system is tetragonal.

Cell and atoms, written as POSCAR:
```
BaScAl2Hg
1.0
5.208 0.000 0.000
0.000 5.208 0.000
0.000 0.000 5.500
Ba Sc Al Hg
1 1 2 1
Cartesian
0.000 0.000 0.000
2.604 2.604 0.000
0.000 2.604 2.750
2.604 0.000 2.750
2.604 2.604 2.750
```

=====

DFT (GGA-PBE) results for a relaxed structure of BaNi2Mo.

The formation enthalpy at 0 K comes out at 13.4 kcal/mol of atoms. Its crystal system is tetragonal.

Cell and atoms, written as POSCAR:
```
BaNi2Mo
1.0
3.184 0.000 0.000
0.000 3.184 0.000
0.000 0.000 7.496
Ba Ni Mo
1 2 1
Cartesian
0.000 0.000 0.000
0.000 0.000 3.917
1.592 1.592 5.123
1.592 1.592 2.751
```

=====

DFT (GGA-PBE) results for a relaxed structure of SiTcAs2.

The calculation puts the formation energy without anion corrections at 0.43 eV per atom. Its crystal system is orthorhombic.

Cell and atoms, written as POSCAR:
```
SiTcAs2
1.0
3.005 0.000 0.000
0.000 4.920 0.000
0.000 0.000 9.221
Si Tc As
2 2 4
Cartesian
0.000 0.000 0.000
1.502 2.460 0.000
0.000 0.000 4.611
1.502 2.460 4.611
0.000 2.460 2.548
0.000 2.460 6.673
1.502 0.000 2.548
1.502 0.000 6.673
```

=====

DFT (GGA-PBE) results for a relaxed structure of LiCa2AgN.

The calculation puts the formation energy without anion corrections at -0.50 eV per atom. Its crystal system is monoclinic.

Cell and atoms, written as POSCAR:
```
LiCa2AgN
1.0
7.645 0.000 0.000
0.000 3.559 0.000
-2.922 0.000 7.840
Li Ca Ag N
2 4 2 2
Cartesian
-0.033 0.890 1.556
4.756 2.669 6.284
0.951 2.669 3.995
2.357 2.669 1.088
2.366 0.890 6.752
3.772 0.890 3.844
-0.853 0.890 6.218
5.577 2.669 1.621
1.708 0.890 2.524
3.016 2.669 5.315
```

=====

DFT (GGA-PBE) results for a relaxed structure of ZrV2Ge4.

The formation enthalpy at 0 K comes out at 10.9 kcal/mol of atoms. Its crystal system is tetragonal.

Cell and atoms, written as POSCAR:
```
ZrV2Ge4
1.0
5.051 0.000 0.000
0.000 5.051 0.000
0.000 0.000 12.452
Zr V Ge
2 4 8
Cartesian
0.000 0.000 0.000
2.526 2.526 6.226
0.000 0.000 5.225
0.000 0.000 7.227
2.526 2.526 1.001
2.526 2.526 11.451
0.000 0.000 2.657
0.000 0.000 9.795
0.000 2.526 0.000
0.000 2.526 6.226
2.526 0.000 0.000
2.526 0.000 6.226
2.526 2.526 3.569
2.526 2.526 8.883
```

=====

DFT (GGA-PBE) results for a relaxed structure of VZn4.

The formation enthalpy at 0 K comes out at 1.7 kcal/mol of atoms. Its crystal system is orthorhombic.

Cell and atoms, written as POSCAR:
```
VZn4
1.0
2.660 0.000 0.000
0.000 3.734 0.000
0.000 0.000 14.472
V Zn
2 8
Cartesian
0.000 0.000 0.000
1.330 1.867 7.236
0.000 0.000 2.841
0.000 0.000 5.800
0.000 0.000 8.673
0.000 0.000 11.631
1.330 1.867 1.436
1.330 1.867 4.395
1.330 1.867 10.077
1.330 1.867 13.036
```

=====

DFT (GGA-PBE) results for a relaxed structure of K2CrSe.

The calculation puts the formation energy without anion corrections at -0.12 eV per atom. Its crystal system is monoclinic.

Cell and atoms, written as POSCAR:
```
K2CrSe
1.0
11.474 0.000 0.000
0.000 4.697 0.000
-2.820 0.000 5.673
K Cr Se
4 2 2
Cartesian
0.000 0.000 0.000
0.356 0.000 3.599
5.737 2.349 0.000
6.093 2.349 3.599
3.416 0.000 1.854
9.153 2.349 1.854
2.901 2.349 2.219
8.638 0.000 2.219
```

=====

Computed VASP energy (eV per cell) in order:
-52.163 -77.265 -51.187 -38.493 -13.733 -14.636 -21.990 -46.744 -39.197 -83.892 -27.696 -31.599